[1]
The following is a meta-GGA SCAN calculation of a crystal of KLaZr relaxed with PBEsol, from Alexandria.

Output
The density of states at the Fermi level is 4.02 states/eV/f.u. For the calculated formation energy, the calculation gives 1600 meV/atom.

abc: 5.2595 5.2595 5.2595
angles: 60.00 60.00 60.00
Last column: nearest neighbours and their distance in Å.
Sites, in units of the cell vectors:
K 0.2500 0.2500 0.2500  4 Zr 3.22, 4 La 3.22
La 0.0000 0.0000 0.0000  4 K 3.22
Zr 0.5000 0.5000 0.5000  4 K 3.22

=====

[2]
The following is a meta-GGA SCAN calculation of a crystal of KLa2Zr relaxed with PBEsol, from Alexandria.

Output
The density of states at the Fermi level is 5.89 states/eV/f.u. For the calculated formation energy, the calculation gives 521 meV/atom.

abc: 3.4586 4.5931 9.1093
angles: 90.00 90.00 90.00
Last column: nearest neighbours and their distance in Å.
Sites, in units of the cell vectors:
K 0.5000 0.5000 0.7201  2 K 3.46
La 0.0000 0.0000 0.0623  1 Zr 3.34, 6 La 3.46-3.54
La 0.5000 0.5000 0.2883  4 Zr 3.15, 2 La 3.46
Zr 0.0000 0.0000 0.4293  5 La 3.15-3.34, 2 Zr 3.46

=====

[3]
The following is a meta-GGA SCAN calculation of a crystal of K2LaZr relaxed with PBEsol, from Alexandria.

Output
The density of states at the Fermi level is 3.42 states/eV/f.u. For the calculated formation energy, the calculation gives 730 meV/atom.

abc: 3.2552 7.1032 7.7857
angles: 117.14 102.07 90.00
Last column: nearest neighbours and their distance in Å.
Sites, in units of the cell vectors:
K 0.9801 0.9801 0.9602  2 K 3.26
K 0.7560 0.2560 0.5120  2 K 3.26
La 0.5418 0.5418 0.0836  2 Zr 2.92, 2 La 3.26
Zr 0.2221 0.7221 0.4442  2 La 2.92, 2 Zr 3.26

=====

[4]
The following is a meta-GGA SCAN calculation of a crystal of KLa4Zr relaxed with PBEsol, from Alexandria.

Output
The density of states at the Fermi level is 8.04 states/eV/f.u. For the calculated formation energy, the calculation gives 605 meV/atom.

abc: 6.6356 6.6356 6.6356
angles: 60.00 60.00 60.00
Last column: nearest neighbours and their distance in Å.
Sites, in units of the cell vectors:
K 0.0000 0.0000 0.0000  12 La 3.91, 4 Zr 4.06
La 0.3813 0.3813 0.3813  6 La 3.15-3.49
La 0.3813 0.3813 0.8560  6 La 3.15-3.49
La 0.8560 0.3813 0.3813  6 La 3.15-3.49
La 0.3813 0.8560 0.3813  6 La 3.15-3.49
Zr 0.7500 0.7500 0.7500  12 La 3.87, 4 K 4.06

=====

[5]
The following is a meta-GGA SCAN calculation of a crystal of K2LaZr relaxed with PBEsol, from Alexandria.

Output
The density of states at the Fermi level is 4.43 states/eV/f.u. For the calculated formation energy, the calculation gives 805 meV/atom.

abc: 6.9445 4.6328 4.6328
angles: 90.00 90.00 90.00
Last column: nearest neighbours and their distance in Å.
Sites, in units of the cell vectors:
K 0.0000 0.0000 0.5000  4 K 3.28
K 0.0000 0.5000 0.0000  4 K 3.28
La 0.5000 0.5000 0.5000  4 Zr 3.28
Zr 0.5000 0.0000 0.0000  4 La 3.28

=====

[6]
The following is a meta-GGA SCAN calculation of a crystal of K7Li relaxed with PBEsol, from Alexandria.

Output
The density of states at the Fermi level is 5.23 states/eV/f.u. For the calculated formation energy, the calculation gives 63 meV/atom.

abc: 8.9810 8.9810 8.9810
angles: 60.00 60.00 60.00
Last column: nearest neighbours and their distance in Å.
Sites, in units of the cell vectors:
K 0.5000 0.0000 0.5000  2 Li 4.49, 10 K 4.49
K 0.0000 0.0000 0.5000  2 Li 4.49, 10 K 4.49
K 0.0000 0.5000 0.5000  10 K 4.49, 2 Li 4.49
K 0.0000 0.5000 0.0000  10 K 4.49, 2 Li 4.49
K 0.5000 0.5000 0.0000  10 K 4.49, 2 Li 4.49
K 0.5000 0.0000 0.0000  10 K 4.49, 2 Li 4.49
K 0.5000 0.5000 0.5000  12 K 4.49
Li 0.0000 0.0000 0.0000  12 K 4.49

=====

[7]
The following is a meta-GGA SCAN calculation of a crystal of KLi relaxed with PBEsol, from Alexandria.

Output
The density of states at the Fermi level is 1.16 states/eV/f.u. For the calculated formation energy, the calculation gives 155 meV/atom.

abc: 6.2051 6.2051 6.2051
angles: 60.00 60.00 60.00
Last column: nearest neighbours and their distance in Å.
Sites, in units of the cell vectors:
K 0.5000 0.5000 0.5000  4 K 3.80, 4 Li 3.80
K 0.7500 0.7500 0.7500  4 K 3.80, 4 Li 3.80
Li 0.0000 0.0000 0.0000  4 Li 3.80, 4 K 3.80
Li 0.2500 0.2500 0.2500  4 K 3.80, 4 Li 3.80

=====

[8]
The following is a meta-GGA SCAN calculation of a crystal of K5Li relaxed with PBEsol, from Alexandria.

Output
The density of states at the Fermi level is 3.95 states/eV/f.u. For the calculated formation energy, the calculation gives 66 meV/atom.

abc: 6.5767 6.5193 9.1564
angles: 90.00 111.05 90.00
Last column: nearest neighbours and their distance in Å.
Sites, in units of the cell vectors:
K 0.3455 0.5000 0.6909  2 Li 4.20, 10 K 4.22-4.63
K 0.1555 0.0000 0.3109  10 K 4.21-4.63, 2 Li 4.23
K 0.0000 0.5000 0.0000  8 K 4.21-4.22, 4 Li 4.63
K 0.8445 0.0000 0.6891  10 K 4.21-4.63, 2 Li 4.23
K 0.6545 0.5000 0.3091  2 Li 4.20, 10 K 4.22-4.63
Li 0.5000 0.0000 0.0000  12 K 4.20-4.63

=====

[9]
The following is a meta-GGA SCAN calculation of a crystal of K5Li relaxed with PBEsol, from Alexandria.

Output
The density of states at the Fermi level is 3.90 states/eV/f.u. For the calculated formation energy, the calculation gives 51 meV/atom.

abc: 4.5796 4.5796 17.6761
angles: 90.00 90.00 90.00
Last column: nearest neighbours and their distance in Å.
Sites, in units of the cell vectors:
K 0.0000 0.0000 0.8760  4 Li 3.91
K 0.0000 0.0000 0.1240  4 Li 3.91
K 0.5000 0.5000 0.6891  12 K 4.58-4.65
K 0.5000 0.5000 0.3109  12 K 4.58-4.65
K 0.0000 0.0000 0.5000  12 K 4.58-4.65
Li 0.5000 0.5000 0.0000  8 K 3.91

=====

[10]
The following is a meta-GGA SCAN calculation of a crystal of K5Li relaxed with PBEsol, from Alexandria.

Output
The density of states at the Fermi level is 4.04 states/eV/f.u. For the calculated formation energy, the calculation gives 55 meV/atom.

abc: 4.7385 8.0989 10.7903
angles: 109.81 90.00 107.01
Last column: nearest neighbours and their distance in Å.
Sites, in units of the cell vectors:
K 0.9465 0.8931 0.9735  2 Li 3.85
K 0.3062 0.6123 0.6132  12 K 4.41-4.84
K 0.6658 0.3316 0.2509  2 Li 3.86
K 0.6374 0.2749 0.8126  2 Li 4.08, 1 K 4.48
K 0.9730 0.9460 0.4080  2 Li 4.11, 4 K 4.45-4.58
Li 0.3044 0.6088 0.1086  8 K 3.85-4.11

=====

[11]
The following is a meta-GGA SCAN calculation of a crystal of KLi2 relaxed with PBEsol, from Alexandria.

Output
The density of states at the Fermi level is 1.61 states/eV/f.u. For the calculated formation energy, the calculation gives 121 meV/atom.

abc: 3.9887 3.9887 7.1475
angles: 106.20 106.20 90.00
Last column: nearest neighbours and their distance in Å.
Sites, in units of the cell vectors:
K 0.0000 0.0000 0.0000  10 Li 3.83-3.93, 4 K 3.99
Li 0.7087 0.7087 0.4174  4 Li 3.02
Li 0.2913 0.2913 0.5826  4 Li 3.02

=====

[12]
The following is a meta-GGA SCAN calculation of a crystal of K3Li4 relaxed with PBEsol, from Alexandria.

Output
The density of states at the Fermi level is 3.96 states/eV/f.u. For the calculated formation energy, the calculation gives 297 meV/atom.

abc: 6.3865 7.3841 7.3841
angles: 120.00 90.00 90.00
Last column: nearest neighbours and their distance in Å.
Sites, in units of the cell vectors:
K 0.0000 0.0000 0.5000  4 K 3.69, 8 Li 3.84-4.05
K 0.0000 0.5000 0.0000  4 K 3.69, 8 Li 3.84-4.05
K 0.0000 0.5000 0.5000  4 K 3.69, 8 Li 3.84-4.05
Li 0.7380 0.0000 0.0000  2 Li 3.04-3.35
Li 0.2620 0.0000 0.0000  2 Li 3.04-3.35
Li 0.5000 0.3333 0.6667  6 K 3.84, 3 Li 4.26
Li 0.5000 0.6667 0.3333  6 K 3.84, 3 Li 4.26

=====

- The highest calculated formation energy belongs to which entry?
  KLaZr

=====

What did the sixth record say?
The following is a meta-GGA SCAN calculation of a crystal of K7Li relaxed with PBEsol, from Alexandria.

Output
The density of states at the Fermi level is 5.23 states/eV/f.u. For the calculated formation energy, the calculation gives 63 meV/atom.

abc: 8.9810 8.9810 8.9810
angles: 60.00 60.00 60.00
Last column: nearest neighbours and their distance in Å.
Sites, in units of the cell vectors:
K 0.5000 0.0000 0.5000  2 Li 4.49, 10 K 4.49
K 0.0000 0.0000 0.5000  2 Li 4.49, 10 K 4.49
K 0.0000 0.5000 0.5000  10 K 4.49, 2 Li 4.49
K 0.0000 0.5000 0.0000  10 K 4.49, 2 Li 4.49
K 0.5000 0.5000 0.0000  10 K 4.49, 2 Li 4.49
K 0.5000 0.0000 0.0000  10 K 4.49, 2 Li 4.49
K 0.5000 0.5000 0.5000  12 K 4.49
Li 0.0000 0.0000 0.0000  12 K 4.49

=====

- What is the calculated formation energy in the eighth record?
  66 meV/atom